The following is a PBE-GGA calculation of a relaxed structure of Nd4In3Ni, from Alexandria.

The calculation puts the formation energy at -415 meV/atom. The density of states at the Fermi level comes out at 0.91 states/eV per atom. For the spin magnetization, the calculation gives 0.000 μB/cell.

Unit cell a=3.6177 b=3.6177 c=16.6063 alpha=90.00 beta=90.00 gamma=90.00
Fractional positions:
Nd 0.0000 0.0000 0.1010
Nd 0.0000 0.0000 0.3669
Nd 0.0000 0.0000 0.6331
Nd 0.0000 0.0000 0.8990
In 0.5000 0.5000 0.2352
In 0.5000 0.5000 0.5000
In 0.5000 0.5000 0.7648
Ni 0.5000 0.5000 0.0000

The following is a PBE-GGA calculation of a relaxed structure of NdIn2Ni, from Alexandria.

The calculation puts the formation energy at -429 meV/atom. The density of states at the Fermi level comes out at 0.74 states/eV per atom. For the spin magnetization, the calculation gives 0.000 μB/cell.

Unit cell a=4.4171 b=7.4602 c=5.8109 alpha=90.00 beta=112.01 gamma=90.00
Fractional positions:
Nd 0.0668 0.2500 0.1318
Nd 0.9332 0.7500 0.8682
In 0.3535 0.0504 0.7063
In 0.3535 0.4496 0.7063
In 0.6465 0.5504 0.2937
In 0.6465 0.9496 0.2937
Ni 0.2128 0.7500 0.4281
Ni 0.7872 0.2500 0.5719

The following is a PBE-GGA calculation of a relaxed structure of NdIn12Ni4, from Alexandria.

The calculation puts the formation energy at -44 meV/atom. The density of states at the Fermi level comes out at 0.71 states/eV per atom. For the spin magnetization, the calculation gives 0.000 μB/cell.

Unit cell a=8.1479 b=8.1479 c=8.1479 alpha=109.47 beta=109.47 gamma=109.47
Fractional positions:
Nd 0.0000 0.0000 0.0000
In 0.1460 0.8208 0.3252
In 0.1792 0.3252 0.5044
In 0.1792 0.6748 0.8540
In 0.3252 0.1460 0.8208
In 0.3252 0.5044 0.1792
In 0.4956 0.8208 0.6748
In 0.5044 0.1792 0.3252
In 0.6748 0.4956 0.8208
In 0.6748 0.8540 0.1792
In 0.8208 0.3252 0.1460
In 0.8208 0.6748 0.4956
In 0.8540 0.1792 0.6748
Ni 0.0000 0.0000 0.5000
Ni 0.0000 0.5000 0.0000
Ni 0.5000 0.0000 0.0000
Ni 0.5000 0.5000 0.5000

The following is a PBE-GGA calculation of a relaxed structure of Nd5InNi2, from Alexandria.

The calculation puts the formation energy at -276 meV/atom. The density of states at the Fermi level comes out at 1.03 states/eV per atom. For the spin magnetization, the calculation gives 0.000 μB/cell.

Unit cell a=8.8591 b=8.8591 c=8.8591 alpha=126.55 beta=126.55 gamma=78.99
Fractional positions:
Nd 0.0000 0.0000 0.0000
Nd 0.0228 0.5228 0.8185
Nd 0.2043 0.0228 0.5000
Nd 0.2957 0.7957 0.8185
Nd 0.4772 0.2957 0.5000
Nd 0.5000 0.5000 0.0000
Nd 0.5228 0.7043 0.5000
Nd 0.7043 0.2043 0.1815
Nd 0.7957 0.9772 0.5000
Nd 0.9772 0.4772 0.1815
In 0.2500 0.2500 0.0000
In 0.7500 0.7500 0.0000
Ni 0.1230 0.3770 0.5000
Ni 0.3770 0.8770 0.2540
Ni 0.6230 0.1230 0.7460
Ni 0.8770 0.6230 0.5000

The following is a PBE-GGA calculation of a relaxed structure of NdIn2Ni9, from Alexandria.

The calculation puts the formation energy at -207 meV/atom. The density of states at the Fermi level comes out at 1.49 states/eV per atom. For the spin magnetization, the calculation gives 3.116 μB/cell.

Unit cell a=8.2953 b=8.2953 c=4.8726 alpha=90.00 beta=90.00 gamma=90.00
Fractional positions:
Nd 0.0000 0.0000 0.0000
Nd 0.5000 0.5000 0.0000
In 0.1243 0.3757 0.0000
In 0.3757 0.8757 0.0000
In 0.6243 0.1243 0.0000
In 0.8757 0.6243 0.0000
Ni 0.0000 0.5000 0.5000
Ni 0.0656 0.2087 0.5000
Ni 0.1760 0.6760 0.2498
Ni 0.1760 0.6760 0.7502
Ni 0.2087 0.9344 0.5000
Ni 0.2913 0.4344 0.5000
Ni 0.3240 0.1760 0.2498
Ni 0.3240 0.1760 0.7502
Ni 0.4344 0.7087 0.5000
Ni 0.5000 0.0000 0.5000
Ni 0.5656 0.2913 0.5000
Ni 0.6760 0.8240 0.2498
Ni 0.6760 0.8240 0.7502
Ni 0.7087 0.5656 0.5000
Ni 0.7913 0.0656 0.5000
Ni 0.8240 0.3240 0.2498
Ni 0.8240 0.3240 0.7502
Ni 0.9344 0.7913 0.5000

The following is a PBE-GGA calculation of a relaxed structure of Nd6InNi, from Alexandria.

The calculation puts the formation energy at -45 meV/atom. The density of states at the Fermi level comes out at 1.27 states/eV per atom. For the spin magnetization, the calculation gives 0.000 μB/cell.

Unit cell a=6.5408 b=6.5408 c=6.4768 alpha=99.84 beta=99.84 gamma=103.91
Fractional positions:
Nd 0.0797 0.6901 0.7136
Nd 0.2777 0.2777 0.8611
Nd 0.3099 0.9203 0.2864
Nd 0.6901 0.0797 0.7136
Nd 0.7223 0.7223 0.1389
Nd 0.9203 0.3099 0.2864
In 0.5000 0.5000 0.5000
Ni 0.0000 0.0000 0.0000

The following is a PBE-GGA calculation of a relaxed structure of NdIn4Ni2, from Alexandria.

The calculation puts the formation energy at -171 meV/atom. For the energy above the most stable polymorph in this dataset, the calculation gives 145 meV per atom. The density of states at the Fermi level comes out at 0.69 states/eV per atom. For the spin magnetization, the calculation gives 0.000 μB/cell.

Unit cell a=7.9054 b=7.9054 c=4.4939 alpha=90.00 beta=90.00 gamma=147.08
Fractional positions:
Nd 0.0000 0.0000 0.0000
In 0.1674 0.8326 0.5000
In 0.3307 0.6693 0.0000
In 0.6693 0.3307 0.0000
In 0.8326 0.1674 0.5000
Ni 0.4223 0.5777 0.5000
Ni 0.5777 0.4223 0.5000

The following is a PBE-GGA calculation of a relaxed structure of Nd2In5Ni3, from Alexandria.

The calculation puts the formation energy at -366 meV/atom. For the energy above the most stable polymorph in this dataset, the calculation gives 0 meV per atom. The density of states at the Fermi level comes out at 0.72 states/eV per atom. For the spin magnetization, the calculation gives 0.000 μB/cell.

Unit cell a=13.3374 b=13.3374 c=7.2330 alpha=90.00 beta=90.00 gamma=160.82
Fractional positions:
Nd 0.0256 0.9744 0.5000
Nd 0.3265 0.6735 0.4235
Nd 0.6735 0.3265 0.9235
Nd 0.9744 0.0256 0.0000
In 0.0956 0.9044 0.1201
In 0.2062 0.7938 0.6223
In 0.2107 0.7893 0.2167
In 0.3737 0.6263 0.9619
In 0.4483 0.5517 0.3305
In 0.5517 0.4483 0.8305
In 0.6263 0.3737 0.4619
In 0.7893 0.2107 0.7167
In 0.7938 0.2062 0.1223
In 0.9044 0.0956 0.6201
Ni 0.1096 0.8904 0.7458
Ni 0.2713 0.7287 0.9174
Ni 0.4537 0.5463 0.7159
Ni 0.5463 0.4537 0.2159
Ni 0.7287 0.2713 0.4174
Ni 0.8904 0.1096 0.2458

The following is a PBE-GGA calculation of a relaxed structure of NdIn2Ni2, from Alexandria.

The calculation puts the formation energy at -350 meV/atom. For the energy above the most stable polymorph in this dataset, the calculation gives 0 meV per atom. The density of states at the Fermi level comes out at 0.81 states/eV per atom. For the spin magnetization, the calculation gives 0.000 μB/cell.

Unit cell a=5.4141 b=5.4141 c=5.1330 alpha=103.45 beta=103.45 gamma=44.88
Fractional positions:
Nd 0.0000 0.0000 0.0000
In 0.3472 0.3472 0.4177
In 0.6528 0.6528 0.5823
Ni 0.2739 0.2739 0.8812
Ni 0.7261 0.7261 0.1188

The following is a PBE-GGA calculation of a relaxed structure of Nd3In4Ni4, from Alexandria.

The calculation puts the formation energy at -365 meV/atom. The density of states at the Fermi level comes out at 0.58 states/eV per atom. For the spin magnetization, the calculation gives 0.000 μB/cell.

Unit cell a=8.5311 b=8.5311 c=8.5311 alpha=152.37 beta=125.64 gamma=62.06
Fractional positions:
Nd 0.0000 0.0000 0.0000
Nd 0.3830 0.8830 0.5000
Nd 0.6170 0.1170 0.5000
In 0.0237 0.3295 0.6942
In 0.3647 0.6705 0.6942
In 0.6353 0.3295 0.3058
In 0.9763 0.6705 0.3058
Ni 0.2273 0.2273 0.0000
Ni 0.3162 0.5000 0.8162
Ni 0.6838 0.5000 0.1838
Ni 0.7727 0.7727 0.0000

The following is a PBE-GGA calculation of a relaxed structure of Nd2InNi16, from Alexandria.

The calculation puts the formation energy at -174 meV/atom. The density of states at the Fermi level comes out at 1.31 states/eV per atom. For the spin magnetization, the calculation gives 4.602 μB/cell.

Unit cell a=6.3714 b=6.3714 c=6.3714 alpha=83.02 beta=83.02 gamma=83.02
Fractional positions:
Nd 0.0000 0.0000 0.0000
Nd 0.3089 0.3089 0.3089
In 0.5680 0.5680 0.5680
Ni 0.9997 0.9997 0.5025
Ni 0.9997 0.5025 0.9997
Ni 0.1514 0.6604 0.6604
Ni 0.3124 0.3124 0.8156
Ni 0.3124 0.8156 0.3124
Ni 0.3591 0.6586 0.9584
Ni 0.3591 0.9584 0.6586
Ni 0.5025 0.9997 0.9997
Ni 0.6586 0.3591 0.9584
Ni 0.6586 0.9584 0.3591
Ni 0.6604 0.1514 0.6604
Ni 0.6604 0.6604 0.1514
Ni 0.7696 0.7696 0.7696
Ni 0.8156 0.3124 0.3124
Ni 0.9584 0.3591 0.6586
Ni 0.9584 0.6586 0.3591

The following is a PBE-GGA calculation of a relaxed structure of Nd2In2Ni15, from Alexandria.

The calculation puts the formation energy at -148 meV/atom. The density of states at the Fermi level comes out at 1.35 states/eV per atom. For the spin magnetization, the calculation gives 3.239 μB/cell.

Unit cell a=6.4600 b=6.4600 c=6.4600 alpha=82.69 beta=82.69 gamma=82.69
Fractional positions:
Nd 0.1461 0.1461 0.1461
Nd 0.8539 0.8539 0.8539
In 0.3929 0.3929 0.3929
In 0.6071 0.6071 0.6071
Ni 0.0000 0.5000 0.5000
Ni 0.1534 0.1534 0.6581
Ni 0.1534 0.6581 0.1534
Ni 0.1992 0.5000 0.8008
Ni 0.1992 0.8008 0.5000
Ni 0.3419 0.8466 0.8466
Ni 0.5000 0.0000 0.5000
Ni 0.5000 0.1992 0.8008
Ni 0.5000 0.5000 0.0000
Ni 0.5000 0.8008 0.1992
Ni 0.6581 0.1534 0.1534
Ni 0.8008 0.1992 0.5000
Ni 0.8008 0.5000 0.1992
Ni 0.8466 0.3419 0.8466
Ni 0.8466 0.8466 0.3419